Record 1
## GeH4 (GGA-PBE)

Data for GeH4 after structural relaxation.

abc: 4.048 4.280 5.063
angles: 90.00 90.00 90.00
Fractional coordinates of all 10 atoms:
H  0.750  0.132  0.922
H  0.250  0.366  0.075
H  0.250  0.868  0.078
H  0.750  0.132  0.078
H  0.750  0.634  0.075
H  0.750  0.634  0.925
H  0.250  0.366  0.925
H  0.250  0.868  0.922
Ge  0.750  0.250  0.500
Ge  0.250  0.750  0.500

Values from the calculation:
Size of the total moment   0.00 μB/cell
DOS(E_F)   3.067 states/eV/cell
Uncorrected energy   -3.310 eV/atom

=====

Record 2
## Tb2PmSm6 (GGA-PBE)

Data for Tb2PmSm6 after structural relaxation.

abc: 6.166 7.559 7.559
angles: 60.00 89.98 89.98
Last column: magnetic moment on the atom in μB.
Fractional coordinates of all 9 atoms:
Pm  0.000  0.000  0.000  0.00
Sm  0.291  0.813  0.376  0.06
Sm  0.709  0.624  0.187  0.06
Sm  0.709  0.187  0.624  0.06
Sm  0.709  0.188  0.188  0.06
Sm  0.291  0.812  0.812  0.06
Sm  0.291  0.376  0.813  0.06
Tb  0.784  0.666  0.666  0.07
Tb  0.216  0.334  0.334  0.07

Values from the calculation:
Size of the total moment   0.88 μB/cell
Relative energy among the computed polymorphs   1.79 eV/f.u.
ΔH_f (0 K)   214 meV per atom
DOS(E_F)   14.249 states/eV/cell

=====

Record 3
## Ti6Au2NO (GGA-PBE)

Data for Ti6Au2NO after structural relaxation.

abc: 5.854 5.854 8.285
angles: 90.00 90.00 90.00
Last column: magnetic moment on the atom in μB.
Fractional coordinates of all 20 atoms:
Ti  0.753  0.503  0.000  0.32
Ti  0.500  0.250  0.747  0.35
Ti  0.253  0.497  0.500  0.32
Ti  0.000  0.750  0.753  0.35
Ti  0.000  0.750  0.247  0.35
Ti  0.247  0.503  0.000  0.32
Ti  0.753  0.998  0.000  0.32
Ti  0.747  0.002  0.500  0.32
Ti  0.500  0.250  0.253  0.35
Ti  0.247  0.998  0.000  0.32
Ti  0.253  0.002  0.500  0.32
Ti  0.747  0.497  0.500  0.32
N  0.500  0.250  0.500  -0.03
N  0.000  0.750  0.000  -0.03
Au  0.000  0.250  0.750  0.02
Au  0.500  0.750  0.250  0.02
Au  0.000  0.250  0.250  0.02
Au  0.500  0.750  0.750  0.02
O  0.000  0.750  0.500  -0.01
O  0.500  0.250  0.000  -0.01

Values from the calculation:
Size of the total moment   4.54 μB/cell
DOS(E_F)   16.614 states/eV/cell
Uncorrected energy   -7.891 eV/atom

=====

Record 4
## TmGaO3 (GGA-PBE)

Data for TmGaO3 after structural relaxation.

abc: 3.494 3.494 11.673
angles: 90.00 90.00 120.00
Fractional coordinates of all 10 atoms:
Tm  0.000  0.000  0.000
Tm  0.000  0.000  0.500
O  0.333  0.667  0.414
O  0.667  0.333  0.914
O  0.333  0.667  0.086
O  0.000  0.000  0.750
O  0.667  0.333  0.586
O  0.000  0.000  0.250
Ga  0.333  0.667  0.250
Ga  0.667  0.333  0.750

Values from the calculation:
Size of the total moment   0.00 μB/cell
DOS(E_F)   0.000 states/eV/cell
Uncorrected energy   -7.239 eV/atom

=====

Record 5
## LiZrSeO5 (GGA-PBE)

Data for LiZrSeO5 after structural relaxation.

abc: 5.871 5.871 7.885
angles: 105.81 105.81 110.48
Last column: magnetic moment on the atom in μB.
Fractional coordinates of all 16 atoms:
Zr  0.000  0.000  0.000  0.01
Zr  0.000  0.000  0.500  0.01
O  0.942  0.058  0.750  0.02
O  0.580  0.783  0.920  0.06
O  0.355  0.953  0.624  0.25
O  0.058  0.942  0.250  0.02
O  0.953  0.355  0.124  0.25
O  0.047  0.645  0.876  0.25
O  0.420  0.217  0.080  0.06
O  0.217  0.420  0.580  0.06
O  0.783  0.580  0.420  0.06
O  0.645  0.047  0.376  0.25
Se  0.283  0.717  0.750  0.13
Se  0.717  0.283  0.250  0.13
Li  0.261  0.739  0.250  0.00
Li  0.739  0.261  0.750  0.00

Values from the calculation:
Size of the total moment   1.86 μB/cell
DOS(E_F)   2.948 states/eV/cell
Uncorrected energy   -6.609 eV/atom

=====

Record 6
## BeAs2Pt (GGA-PBE)

Data for BeAs2Pt after structural relaxation.

abc: 6.091 6.091 6.091
angles: 151.31 143.97 46.69
Fractional coordinates of all 4 atoms:
As  0.992  0.992  0.000
As  0.698  0.198  0.500
Pt  0.324  0.824  0.500
Be  0.485  0.485  0.000

Values from the calculation:
Size of the total moment   0.00 μB/cell
ΔH_f (0 K)   13 meV per atom
DOS(E_F)   1.176 states/eV/cell

=====

Record 7
## Tc2HgBr (GGA-PBE)

Data for Tc2HgBr after structural relaxation.

abc: 7.201 7.201 5.864
angles: 52.12 52.12 90.00
Last column: magnetic moment on the atom in μB.
Fractional coordinates of all 8 atoms:
Br  0.500  0.500  0.000  -0.01
Br  0.250  0.750  0.500  -0.01
Tc  0.375  0.428  0.750  0.49
Tc  0.572  0.125  0.250  0.51
Tc  0.178  0.625  0.250  0.51
Tc  0.875  0.822  0.750  0.48
Hg  0.750  0.250  0.500  0.00
Hg  0.000  0.000  0.000  0.00

Values from the calculation:
Size of the total moment   2.14 μB/cell
Relative energy among the computed polymorphs   4.12 eV/f.u.
DOS(E_F)   3.890 states/eV/cell

=====

Record 8
## LaCrRh2 (GGA-PBE)

Data for LaCrRh2 after structural relaxation.

abc: 9.440 9.440 9.440
angles: 17.70 17.70 17.70
Last column: magnetic moment on the atom in μB.
Fractional coordinates of all 4 atoms:
Rh  0.514  0.514  0.514  -0.02
Rh  0.986  0.986  0.986  -0.02
Cr  0.250  0.250  0.250  0.23
La  0.750  0.750  0.750  -0.44

Values from the calculation:
Size of the total moment   0.37 μB/cell
Relative energy among the computed polymorphs   1.75 eV/f.u.
ΔH_f (0 K)   291 meV per atom
DOS(E_F)   4.121 states/eV/cell

=====

Record 9
## Li2Mg3BIr3 (GGA-PBE)

Data for Li2Mg3BIr3 after structural relaxation.

abc: 2.942 6.940 6.940
angles: 120.00 90.00 90.00
Fractional coordinates of all 9 atoms:
Ir  0.500  0.247  0.247
Ir  0.500  0.753  0.000
Ir  0.500  0.000  0.753
Mg  0.000  0.000  0.389
Mg  0.000  0.389  0.000
Mg  0.000  0.611  0.611
Li  0.500  0.667  0.333
Li  0.500  0.333  0.667
B  0.000  0.000  0.000

Values from the calculation:
Size of the total moment   0.00 μB/cell
ΔH_f (0 K)   -336 meV per atom
DOS(E_F)   4.255 states/eV/cell

=====

Record 10
## Cd4In3Hg8 (GGA-PBE)

Data for Cd4In3Hg8 after structural relaxation.

abc: 10.206 8.574 8.574
angles: 88.77 126.57 126.57
Fractional coordinates of all 15 atoms:
Cd  0.000  0.500  0.000
Cd  0.000  0.000  0.500
Cd  0.000  0.000  0.000
Cd  0.500  0.000  0.000
In  0.500  0.000  0.500
In  0.500  0.500  0.000
In  0.500  0.500  0.500
Hg  0.000  0.737  0.263
Hg  0.496  0.755  0.755
Hg  0.504  0.245  0.245
Hg  0.000  0.263  0.737
Hg  0.500  0.751  0.249
Hg  0.500  0.249  0.751
Hg  0.993  0.718  0.718
Hg  0.007  0.282  0.282

Values from the calculation:
Size of the total moment   0.00 μB/cell
ΔH_f (0 K)   36 meV per atom
DOS(E_F)   5.090 states/eV/cell

=====

Record 11
## Y2CuHg (GGA-PBE)

Data for Y2CuHg after structural relaxation.

abc: 8.439 8.439 8.438
angles: 35.51 155.09 155.09
Last column: magnetic moment on the atom in μB.
Fractional coordinates of all 4 atoms:
Cu  0.000  0.000  0.000  0.02
Y  0.000  0.826  0.826  0.19
Y  0.000  0.174  0.174  0.19
Hg  0.000  0.500  0.500  0.01

Values from the calculation:
Size of the total moment   0.86 μB/cell
ΔH_f (0 K)   128 meV per atom
DOS(E_F)   4.670 states/eV/cell

=====

Record 12
## MgPSe2 (GGA-PBE)

Data for MgPSe2 after structural relaxation.

abc: 4.305 4.305 7.186
angles: 90.00 90.00 129.23
Fractional coordinates of all 4 atoms:
Se  0.000  0.000  0.990
Se  0.000  0.000  0.510
P  0.500  0.500  0.750
Mg  0.500  0.500  0.250

Values from the calculation:
Size of the total moment   0.00 μB/cell
Relative energy among the computed polymorphs   1.37 eV/f.u.
DOS(E_F)   1.295 states/eV/cell

=====

Record 13
## TbDy2Y (GGA-PBE)

Data for TbDy2Y after structural relaxation.

abc: 5.638 12.578 7.280
angles: 90.00 90.00 90.00
Fractional coordinates of all 16 atoms:
Y  0.943  0.167  0.250
Y  0.443  0.833  0.750
Y  0.943  0.667  0.250
Y  0.443  0.333  0.750
Dy  0.943  0.417  0.500
Dy  0.443  0.583  0.000
Dy  0.443  0.083  0.000
Dy  0.443  0.083  0.500
Dy  0.943  0.417  0.000
Dy  0.943  0.917  0.500
Dy  0.943  0.917  0.000
Dy  0.443  0.583  0.500
Tb  0.443  0.335  0.250
Tb  0.443  0.835  0.250
Tb  0.943  0.165  0.750
Tb  0.943  0.665  0.750

Values from the calculation:
Size of the total moment   0.00 μB/cell
Relative energy among the computed polymorphs   0.00 eV/f.u.
ΔH_f (0 K)   7 meV per atom
DOS(E_F)   26.365 states/eV/cell

=====

Record 14
## TbPm3Ag (GGA-PBE)

Data for TbPm3Ag after structural relaxation.

abc: 7.199 7.199 8.130
angles: 98.88 117.93 107.26
Fractional coordinates of all 10 atoms:
Pm  0.257  0.549  0.806
Pm  0.807  0.973  0.193
Pm  0.780  0.614  0.807
Pm  0.743  0.451  0.194
Pm  0.193  0.027  0.807
Pm  0.220  0.386  0.193
Tb  0.315  0.922  0.237
Tb  0.685  0.078  0.763
Ag  0.679  0.769  0.448
Ag  0.321  0.231  0.552

Values from the calculation:
Size of the total moment   0.00 μB/cell
ΔH_f (0 K)   56 meV per atom
DOS(E_F)   13.222 states/eV/cell

=====

Record 15
## NdMg2Zn3 (GGA-PBE)

Data for NdMg2Zn3 after structural relaxation.

abc: 6.047 6.604 6.604
angles: 103.60 90.00 90.00
Fractional coordinates of all 12 atoms:
Mg  0.500  0.785  0.215
Mg  0.500  0.215  0.785
Mg  0.000  0.215  0.785
Mg  0.000  0.785  0.215
Zn  0.250  0.953  0.953
Zn  0.750  0.177  0.436
Zn  0.250  0.564  0.823
Zn  0.750  0.047  0.047
Zn  0.750  0.436  0.177
Zn  0.250  0.823  0.564
Nd  0.250  0.331  0.331
Nd  0.750  0.669  0.669

Values from the calculation:
Size of the total moment   0.00 μB/cell
ΔH_f (0 K)   -175 meV per atom
DOS(E_F)   6.754 states/eV/cell

=====

Record 16
## LaAgRh2O (GGA-PBE)

Data for LaAgRh2O after structural relaxation.

abc: 4.328 4.648 4.328
angles: 90.00 90.00 90.00
Fractional coordinates of all 5 atoms:
La  0.000  0.500  0.000
Rh  0.000  0.000  0.500
Rh  0.500  0.000  0.000
O  0.000  0.000  0.000
Ag  0.500  0.500  0.500

Values from the calculation:
Size of the total moment   0.04 μB/cell
DOS(E_F)   4.311 states/eV/cell
Uncorrected energy   -6.082 eV/atom

=====

Record 17
## NbIn2Mo (GGA-PBE)

Data for NbIn2Mo after structural relaxation.

abc: 4.745 4.745 4.745
angles: 60.00 60.00 60.00
Fractional coordinates of all 4 atoms:
In  0.750  0.750  0.750
In  0.250  0.250  0.250
Mo  0.500  0.500  0.500
Nb  0.000  0.000  0.000

Values from the calculation:
Size of the total moment   0.00 μB/cell
ΔH_f (0 K)   423 meV per atom
DOS(E_F)   3.008 states/eV/cell

=====

Record 18
## Sn2BiB (GGA-PBE)

Data for Sn2BiB after structural relaxation.

abc: 5.198 5.198 5.198
angles: 60.00 60.00 60.00
Fractional coordinates of all 4 atoms:
Bi  0.500  0.500  0.500
Sn  0.250  0.250  0.250
Sn  0.750  0.750  0.750
B  0.000  0.000  0.000

Values from the calculation:
Size of the total moment   0.00 μB/cell
Relative energy among the computed polymorphs   2.67 eV/f.u.
ΔH_f (0 K)   1016 meV per atom
DOS(E_F)   2.864 states/eV/cell

=====

Record 19
## AcPrGeIr2 (GGA-PBE)

Data for AcPrGeIr2 after structural relaxation.

abc: 4.635 3.902 7.309
angles: 105.48 108.48 90.00
Fractional coordinates of all 5 atoms:
Ir  0.712  0.212  0.424
Ir  0.020  0.020  0.040
Pr  0.186  0.686  0.371
Ge  0.835  0.835  0.670
Ac  0.459  0.459  0.918

Values from the calculation:
Size of the total moment   0.00 μB/cell
ΔH_f (0 K)   -590 meV per atom
DOS(E_F)   3.064 states/eV/cell

=====

Record 20
## CaAc2P3Pt12 (GGA-PBE)

Data for CaAc2P3Pt12 after structural relaxation.

abc: 7.812 7.812 7.812
angles: 65.04 65.04 65.04
Fractional coordinates of all 18 atoms:
Pt  0.607  0.134  0.134
Pt  0.134  0.134  0.607
Pt  0.866  0.393  0.866
Pt  0.665  0.665  0.100
Pt  0.900  0.335  0.335
Pt  0.134  0.607  0.134
Pt  0.335  0.900  0.335
Pt  0.866  0.866  0.393
Pt  0.335  0.335  0.900
Pt  0.665  0.100  0.665
Pt  0.393  0.866  0.866
Pt  0.100  0.665  0.665
P  0.000  0.000  0.500
P  0.500  0.000  0.000
P  0.000  0.500  0.000
Ca  0.000  0.000  0.000
Ac  0.606  0.606  0.606
Ac  0.394  0.394  0.394

Values from the calculation:
Size of the total moment   0.00 μB/cell
ΔH_f (0 K)   -467 meV per atom
DOS(E_F)   5.585 states/eV/cell

=====

Record 21
## MgTeCl2 (GGA-PBE)

Data for MgTeCl2 after structural relaxation.

abc: 3.233 3.319 12.115
angles: 80.70 90.00 90.00
Fractional coordinates of all 4 atoms:
Cl  0.000  0.471  0.375
Cl  0.000  0.029  0.125
Te  0.500  0.750  0.750
Mg  0.500  0.250  0.250

Values from the calculation:
Size of the total moment   0.00 μB/cell
Relative energy among the computed polymorphs   0.53 eV/f.u.
DOS(E_F)   0.902 states/eV/cell

=====

Record 22
## LaNdMg4 (GGA-PBE)

Data for LaNdMg4 after structural relaxation.

abc: 6.169 6.169 6.169
angles: 60.00 60.00 60.00
Fractional coordinates of all 6 atoms:
Nd  0.000  0.000  0.000
Mg  0.124  0.625  0.625
Mg  0.625  0.625  0.124
Mg  0.625  0.124  0.625
Mg  0.625  0.625  0.625
La  0.250  0.250  0.250

Values from the calculation:
Size of the total moment   0.00 μB/cell
ΔH_f (0 K)   -121 meV per atom
DOS(E_F)   4.871 states/eV/cell

=====

Record 23
## CoAuSe2 (GGA-PBE)

Data for CoAuSe2 after structural relaxation.

abc: 5.140 5.140 6.782
angles: 67.73 67.73 90.00
Last column: magnetic moment on the atom in μB.
Fractional coordinates of all 8 atoms:
Co  0.250  0.750  0.500  1.15
Co  0.500  0.500  0.000  1.15
Au  0.000  0.000  0.000  0.01
Au  0.750  0.250  0.500  0.01
Se  0.459  0.959  0.083  0.01
Se  0.291  0.291  0.417  0.01
Se  0.709  0.709  0.583  -0.01
Se  0.041  0.541  0.917  -0.01

Values from the calculation:
Size of the total moment   2.37 μB/cell
DOS(E_F)   7.607 states/eV/cell
Uncorrected energy   -4.275 eV/atom